First-principles (PBE with a Hubbard U) data for an optimized crystal structure of Ho3MoCl2O6, as listed in Alexandria via LeMat-Bulk.

Results
- DFT total energy: -6.990 eV/atom

Cell lengths 5.471, 6.535, 6.591 Å; angles 119.72, 80.92, 90.00 degrees
Site moments in Bohr magnetons follow the coordinates.
Fractional positions:
Ho  0.000  0.500  0.000  0.00
Ho  0.500  0.500  0.500  0.01
Ho  0.500  0.000  0.500  0.01
Mo  0.500  0.000  0.000  0.95
Cl  0.150  0.706  0.413  0.00
Cl  0.850  0.294  0.587  0.00
O  0.703  0.300  0.119  0.00
O  0.297  0.700  0.881  0.00
O  0.668  0.832  0.663  0.00
O  0.332  0.168  0.337  0.00
O  0.297  0.181  0.881  0.00
O  0.703  0.819  0.119  0.00